The following is a PBE calculation of a relaxed structure of Ca4Ce3WN8, from Alexandria.

Lattice parameters (Å, degrees): 6.9135 6.9135 6.9135 60.07 60.07 60.07
Last column: nearest neighbours and their distance in Å.
Atoms (fractional coordinates):
1 Ca 0.0000 0.0000 0.0000  6 N 2.72
2 Ca 0.0000 0.5000 0.5000  6 N 2.50-2.53
3 Ca 0.5000 0.0000 0.5000  6 N 2.50-2.53
4 Ca 0.5000 0.5000 0.0000  6 N 2.50-2.53
5 Ce 0.0000 0.0000 0.5000  6 N 2.37-2.42
6 Ce 0.0000 0.5000 0.0000  6 N 2.37-2.42
7 Ce 0.5000 0.0000 0.0000  6 N 2.37-2.42
8 W 0.5000 0.5000 0.5000  6 N 2.18
9 N 0.2420 0.2420 0.2420  3 Ce 2.37, 3 Ca 2.53
10 N 0.2693 0.7223 0.7223  1 W 2.18, 2 Ce 2.42
11 N 0.2777 0.2777 0.7307  1 W 2.18, 2 Ce 2.42
12 N 0.2777 0.7307 0.2777  1 W 2.18, 2 Ce 2.42
13 N 0.7223 0.2693 0.7223  1 W 2.18, 2 Ce 2.42
14 N 0.7223 0.7223 0.2693  1 W 2.18, 2 Ce 2.42
15 N 0.7307 0.2777 0.2777  1 W 2.18, 2 Ce 2.42
16 N 0.7580 0.7580 0.7580  3 Ce 2.37, 3 Ca 2.53

Properties
Energy in eV per atom: -7.736
Crystal system: trigonal
Density of states at the Fermi level in states/eV/atom: 0.513